Record 1
First-principles (PBE) data for a relaxed SrInBr2 crystal, as listed in Alexandria via LeMat-Bulk.

Calculated values
Energy above the lowest structure with this stoichiometry = 0.116 eV per atom

Cell lengths 6.7407, 6.7407, 6.7407 Å; angles 139.44, 130.23, 66.07 degrees
Closest atoms and distances in Å follow each position.
Fractional positions:
Sr 0.7500 0.2500 0.5000  4 Br 3.04
Br 0.9227 0.9227 0.0000  2 Sr 3.04
Br 0.5773 0.5773 0.0000  2 Sr 3.04
In 0.2500 0.7500 0.5000  4 Br 3.44, 4 Sr 3.67

---

Record 2
First-principles (PBE) data for a relaxed SrInBr2 crystal, as listed in Alexandria via LeMat-Bulk.

Calculated values
Energy above the lowest structure with this stoichiometry = 0.130 eV per atom

Cell lengths 6.0011, 4.8599, 5.7125 Å; angles 64.79, 90.00, 90.00 degrees
Closest atoms and distances in Å follow each position.
Fractional positions:
Sr 0.5000 0.9153 0.7954  5 Br 3.10-3.18
Br 0.0000 0.8384 0.9470  2 Sr 3.10, 3 In 3.13-3.20
Br 0.5000 0.2169 0.1913  3 Sr 3.12-3.18
In 0.0000 0.5294 0.5663  3 Br 3.13-3.20

---

Record 3
First-principles (PBE) data for a relaxed SrInBr4 crystal, as listed in Alexandria via LeMat-Bulk.

Calculated values
Energy above the lowest structure with this stoichiometry = 0.874 eV per atom

Cell lengths 6.5571, 6.5571, 6.5571 Å; angles 60.00, 60.00, 60.00 degrees
Closest atoms and distances in Å follow each position.
Fractional positions:
Sr 0.0000 0.0000 0.0000  12 Br 3.84, 4 In 4.02
In 0.7500 0.7500 0.7500  12 Br 3.85, 4 Sr 4.02
Br 0.8759 0.3747 0.3747  6 Br 3.27-3.29
Br 0.3747 0.3747 0.8759  6 Br 3.27-3.29
Br 0.3747 0.8759 0.3747  6 Br 3.27-3.29
Br 0.3747 0.3747 0.3747  6 Br 3.27-3.29

---

Record 4
First-principles (PBE) data for a relaxed SrInBr2 crystal, as listed in Alexandria via LeMat-Bulk.

Calculated values
Energy above the lowest structure with this stoichiometry = 0.214 eV per atom

Cell lengths 5.2064, 5.2064, 4.5440 Å; angles 90.00, 90.00, 90.00 degrees
Closest atoms and distances in Å follow each position.
Fractional positions:
Sr 0.0000 0.5000 0.5000  8 Br 3.46, 4 In 3.68
Br 0.0000 0.0000 0.0000  4 In 3.46, 4 Sr 3.46, 4 Br 3.68
Br 0.5000 0.5000 0.0000  4 In 3.46, 4 Sr 3.46, 4 Br 3.68
In 0.5000 0.0000 0.5000  8 Br 3.46, 4 Sr 3.68

---

Record 5
First-principles (PBE) data for a relaxed SrInBr2 crystal, as listed in Alexandria via LeMat-Bulk.

Calculated values
Energy above the lowest structure with this stoichiometry = 0.348 eV per atom

Cell lengths 10.0524, 10.0524, 10.0524 Å; angles 27.16, 27.16, 27.16 degrees
Closest atoms and distances in Å follow each position.
Fractional positions:
Sr 0.0000 0.0000 0.0000  2 Br 2.93
Br 0.8992 0.8992 0.8992  1 Sr 2.93
Br 0.1008 0.1008 0.1008  1 Sr 2.93
In 0.5000 0.5000 0.5000  6 Br 3.33

---

Record 6
First-principles (PBE) data for a relaxed SrInBr2 crystal, as listed in Alexandria via LeMat-Bulk.

Calculated values
Energy above the lowest structure with this stoichiometry = 0.500 eV per atom

Cell lengths 5.6660, 5.6660, 5.6660 Å; angles 60.00, 60.00, 60.00 degrees
Closest atoms and distances in Å follow each position.
Fractional positions:
Sr 0.7500 0.7500 0.7500  4 In 3.47, 4 Br 3.47
Br 0.0000 0.0000 0.0000  4 Br 3.47, 4 Sr 3.47
Br 0.2500 0.2500 0.2500  4 In 3.47, 4 Br 3.47
In 0.5000 0.5000 0.5000  4 Br 3.47, 4 Sr 3.47

---

Record 7
First-principles (PBE) data for a relaxed SrInBr2 crystal, as listed in Alexandria via LeMat-Bulk.

Calculated values
Energy above the lowest structure with this stoichiometry = 0.204 eV per atom

Cell lengths 4.2952, 4.2984, 7.4914 Å; angles 90.00, 90.00, 90.00 degrees
Closest atoms and distances in Å follow each position.
Fractional positions:
Sr 0.5000 0.5000 0.8421  5 Br 2.99-3.12
Br 0.0000 0.0000 0.9351  4 Sr 3.12, 1 In 3.40
Br 0.5000 0.5000 0.2412  1 Sr 2.99
In 0.0000 0.0000 0.4815  5 Br 3.40-3.53

---

Record 8
First-principles (PBE) data for a relaxed SrInBr crystal, as listed in Alexandria via LeMat-Bulk.

Calculated values
Energy above the lowest structure with this stoichiometry = 0.622 eV per atom

Cell lengths 5.3893, 5.3893, 5.3893 Å; angles 60.00, 60.00, 60.00 degrees
Closest atoms and distances in Å follow each position.
Fractional positions:
Sr 0.5000 0.5000 0.5000  4 Br 3.30
Br 0.7500 0.7500 0.7500  4 In 3.30, 4 Sr 3.30
In 0.0000 0.0000 0.0000  4 Br 3.30

---

Record 9
First-principles (PBE) data for a relaxed SrInBr5 crystal, as listed in Alexandria via LeMat-Bulk.

Cell lengths 7.9082, 7.9096, 11.1916 Å; angles 110.18, 110.20, 86.90 degrees
Closest atoms and distances in Å follow each position.
Fractional positions:
Sr 0.5000 0.0000 0.0000  6 Br 2.95-3.17
Sr 0.5000 0.0000 0.5000  6 Br 2.95-3.17
In 0.9050 0.5951 0.2500  4 Br 2.55-2.56
In 0.0950 0.4049 0.7500  4 Br 2.55-2.56
Br 0.7640 0.6934 0.0445  1 In 2.55
Br 0.2495 0.6413 0.3343  1 In 2.56
Br 0.4129 0.0867 0.2499  2 Sr 2.95
Br 0.8066 0.7363 0.4554  1 In 2.55
Br 0.1934 0.2637 0.5446  1 In 2.55
Br 0.8586 0.2506 0.1659  1 In 2.56
Br 0.1414 0.7494 0.8341  1 In 2.56
Br 0.5871 0.9133 0.7501  2 Sr 2.95
Br 0.7505 0.3587 0.6657  1 In 2.56
Br 0.2360 0.3066 0.9555  1 In 2.55

---

Record 10
First-principles (PBE) data for a relaxed SrInBr2 crystal, as listed in Alexandria via LeMat-Bulk.

Calculated values
Energy above the lowest structure with this stoichiometry = 0.104 eV per atom

Cell lengths 8.1033, 8.1033, 8.1033 Å; angles 152.06, 144.58, 45.71 degrees
Closest atoms and distances in Å follow each position.
Fractional positions:
Sr 0.7792 0.2792 0.5000  6 Br 3.03-3.24
Br 0.9343 0.9343 0.0000  2 Sr 3.03
Br 0.2265 0.7265 0.5000  4 Sr 3.24, 2 In 3.50
In 0.5599 0.5599 0.0000  6 Br 3.50-3.66, 2 Sr 3.81, 2 In 3.91

---

Record 11
First-principles (PBE) data for a relaxed Sr2In2Br crystal, as listed in Alexandria via LeMat-Bulk.

Cell lengths 8.3979, 8.3979, 5.2831 Å; angles 90.00, 90.00, 90.00 degrees
Closest atoms and distances in Å follow each position.
Fractional positions:
Sr 0.3261 0.8261 0.0000  2 Br 3.10
Sr 0.8261 0.6739 0.0000  2 Br 3.10
Sr 0.6739 0.1739 0.0000  2 Br 3.10
Sr 0.1739 0.3261 0.0000  2 Br 3.10
Br 0.0000 0.0000 0.0000  4 Sr 3.10
Br 0.5000 0.5000 0.0000  4 Sr 3.10
In 0.1219 0.6219 0.5000  1 In 2.89
In 0.6219 0.8781 0.5000  1 In 2.89
In 0.8781 0.3781 0.5000  1 In 2.89
In 0.3781 0.1219 0.5000  1 In 2.89

---

Record 12
First-principles (PBE) data for a relaxed SrIn4Br crystal, as listed in Alexandria via LeMat-Bulk.

Cell lengths 6.3454, 6.3454, 6.3454 Å; angles 60.00, 60.00, 60.00 degrees
Closest atoms and distances in Å follow each position.
Fractional positions:
Sr 0.7500 0.7500 0.7500  12 In 3.72, 4 Br 3.89
In 0.3749 0.8754 0.3749  6 In 3.17-3.18
In 0.8754 0.3749 0.3749  6 In 3.17-3.18
In 0.3749 0.3749 0.8754  6 In 3.17-3.18
In 0.3749 0.3749 0.3749  6 In 3.17-3.18
Br 0.0000 0.0000 0.0000  12 In 3.72, 4 Sr 3.89

---

Record 13
First-principles (PBE) data for a relaxed SrInBr2 crystal, as listed in Alexandria via LeMat-Bulk.

Calculated values
Energy above the lowest structure with this stoichiometry = 0.000 eV per atom

Cell lengths 10.9384, 10.9384, 10.9384 Å; angles 22.92, 22.92, 22.92 degrees
Closest atoms and distances in Å follow each position.
Fractional positions:
Sr 0.5000 0.5000 0.5000  6 Br 3.04
Br 0.8870 0.8870 0.8870  3 Sr 3.04
Br 0.1130 0.1130 0.1130  3 Sr 3.04
In 0.0000 0.0000 0.0000  2 Br 3.61

---

Record 14
First-principles (PBE) data for a relaxed SrIn2Br4 crystal, as listed in Alexandria via LeMat-Bulk.

Calculated values
Energy above the lowest structure with this stoichiometry = 0.000 eV per atom

Cell lengths 4.5437, 8.4951, 8.9428 Å; angles 117.61, 104.72, 90.00 degrees
Closest atoms and distances in Å follow each position.
Fractional positions:
Sr 0.0000 0.0000 0.0000  6 Br 3.08
In 0.7179 0.7295 0.4357  3 Br 3.16-3.23
In 0.2821 0.2705 0.5643  3 Br 3.16-3.23
Br 0.8675 0.1453 0.7350  1 Sr 3.08, 3 In 3.16-3.23
Br 0.1325 0.8547 0.2650  1 Sr 3.08, 3 In 3.16-3.23
Br 0.6135 0.2489 0.2271  2 Sr 3.08
Br 0.3865 0.7511 0.7729  2 Sr 3.08

---

Record 15
First-principles (PBE) data for a relaxed SrInBr crystal, as listed in Alexandria via LeMat-Bulk.

Calculated values
Energy above the lowest structure with this stoichiometry = 0.489 eV per atom

Cell lengths 5.3175, 5.3175, 4.4883 Å; angles 90.00, 90.00, 120.00 degrees
Closest atoms and distances in Å follow each position.
Fractional positions:
Sr 0.6667 0.3333 0.8336  3 Br 3.07
Br 0.0000 0.0000 0.8326  3 Sr 3.07
In 0.3333 0.6667 0.3338  6 Br 3.80-3.81, 6 Sr 3.80

---

Record 16
First-principles (PBE) data for a relaxed Sr2In2Br7 crystal, as listed in Alexandria via LeMat-Bulk.

Calculated values
Energy above the lowest structure with this stoichiometry = 0.008 eV per atom

Cell lengths 4.5301, 9.9666, 9.9666 Å; angles 58.27, 76.86, 76.86 degrees
Closest atoms and distances in Å follow each position.
Fractional positions:
Sr 0.0000 0.8030 0.1970  8 Br 3.05-3.34
Sr 0.5000 0.3401 0.6599  7 Br 3.09-3.21
In 0.7649 0.7822 0.6879  6 Br 3.03-3.30
In 0.2351 0.3121 0.2178  6 Br 3.03-3.30
Br 0.8064 0.0734 0.3137  3 In 3.03-3.30, 1 Sr 3.34
Br 0.8773 0.4234 0.8220  1 In 3.05, 2 Sr 3.09
Br 0.5000 0.0134 0.9866  3 Sr 3.05-3.17
Br 0.6005 0.5206 0.2785  3 Sr 3.21-3.33, 2 In 3.28, 1 Br 3.38
Br 0.3995 0.7215 0.4794  3 Sr 3.21-3.33, 2 In 3.28, 1 Br 3.38
Br 0.1936 0.6863 0.9266  3 In 3.03-3.30, 1 Sr 3.34
Br 0.1227 0.1780 0.5766  1 In 3.05, 2 Sr 3.09

---

Record 17
First-principles (PBE) data for a relaxed SrIn2Br2 crystal, as listed in Alexandria via LeMat-Bulk.

Calculated values
Energy above the lowest structure with this stoichiometry = 0.046 eV per atom

Cell lengths 5.1665, 5.1665, 7.6864 Å; angles 70.36, 70.36, 90.00 degrees
Closest atoms and distances in Å follow each position.
Fractional positions:
Sr 0.0000 0.0000 0.0000  8 In 3.97, 8 Br 4.26
Br 0.7500 0.2500 0.5000  4 In 3.16
Br 0.2500 0.7500 0.5000  4 In 3.16
In 0.3851 0.3851 0.2299  1 In 3.11, 4 Br 3.16
In 0.6149 0.6149 0.7701  1 In 3.11, 4 Br 3.16

---

Record 18
First-principles (PBE) data for a relaxed SrIn2Br4 crystal, as listed in Alexandria via LeMat-Bulk.

Calculated values
Energy above the lowest structure with this stoichiometry = 0.226 eV per atom

Cell lengths 5.7856, 5.7856, 11.2816 Å; angles 75.14, 75.14, 90.00 degrees
Closest atoms and distances in Å follow each position.
Fractional positions:
Sr 0.0000 0.0000 0.0000  4 Br 2.89
Br 0.3055 0.3055 0.3890  1 In 2.68
Br 0.6945 0.6945 0.6110  1 In 2.68
Br 0.0000 0.5000 0.0000  2 Sr 2.89
Br 0.5000 0.0000 0.0000  2 Sr 2.89
In 0.1782 0.1782 0.6435  1 Br 2.68
In 0.8218 0.8218 0.3565  1 Br 2.68

---

Record 19
First-principles (PBE) data for a relaxed Sr2In2Br7 crystal, as listed in Alexandria via LeMat-Bulk.

Calculated values
Energy above the lowest structure with this stoichiometry = 0.000 eV per atom

Cell lengths 8.4578, 7.5603, 7.5603 Å; angles 110.94, 94.73, 94.73 degrees
Closest atoms and distances in Å follow each position.
Fractional positions:
Sr 0.0000 0.3097 0.6903  6 Br 3.03-3.13
Sr 0.0000 0.6903 0.3097  6 Br 3.03-3.13
In 0.4558 0.3124 0.3124  4 Br 2.76-3.06
In 0.5442 0.6876 0.6876  4 Br 2.76-3.06
Br 0.7699 0.9292 0.5608  1 In 2.98, 2 Sr 3.06-3.13
Br 0.2301 0.4392 0.0708  1 In 2.98, 2 Sr 3.06-3.13
Br 0.2301 0.0708 0.4392  1 In 2.98, 2 Sr 3.06-3.13
Br 0.7699 0.5608 0.9292  1 In 2.98, 2 Sr 3.06-3.13
Br 0.5000 0.0000 0.0000  2 In 2.76
Br 0.1789 0.6604 0.6604  2 Sr 3.03, 1 In 3.06
Br 0.8211 0.3396 0.3396  2 Sr 3.03, 1 In 3.06

---

Record 20
First-principles (PBE) data for a relaxed Sr2In3Br7 crystal, as listed in Alexandria via LeMat-Bulk.

Cell lengths 8.5316, 7.8556, 14.4860 Å; angles 105.73, 90.00, 90.00 degrees
Closest atoms and distances in Å follow each position.
Fractional positions:
Sr 0.7469 0.1475 0.7949  6 Br 3.05-3.10
Sr 0.2469 0.8525 0.2051  6 Br 3.05-3.10
Sr 0.2469 0.6474 0.7949  6 Br 3.05-3.10
Sr 0.7469 0.3526 0.2051  6 Br 3.05-3.10
In 0.6684 0.7682 0.0000  4 Br 3.20-3.41
In 0.1684 0.2318 0.0000  4 Br 3.20-3.41
In 0.8379 0.9442 0.3827  4 Br 3.13-3.34
In 0.3379 0.0558 0.6173  4 Br 3.13-3.34
In 0.8379 0.5615 0.6173  4 Br 3.13-3.34
In 0.3379 0.4385 0.3827  4 Br 3.13-3.34
Br 0.7022 0.3241 0.4092  1 Sr 3.05, 3 In 3.13-3.30
Br 0.2022 0.6759 0.5908  1 Sr 3.05, 3 In 3.13-3.30
Br 0.2022 0.0850 0.4092  1 Sr 3.05, 3 In 3.13-3.30
Br 0.7022 0.9150 0.5908  1 Sr 3.05, 3 In 3.13-3.30
Br 0.0572 0.5543 0.2513  2 Sr 3.06-3.07, 1 In 3.34
Br 0.5572 0.4457 0.7487  2 Sr 3.06-3.07, 1 In 3.34
Br 0.5572 0.6970 0.2513  2 Sr 3.06-3.07, 1 In 3.34
Br 0.0572 0.3030 0.7487  2 Sr 3.06-3.07, 1 In 3.34
Br 0.9344 0.0048 0.1527  2 Sr 3.08-3.10, 1 In 3.36
Br 0.4344 0.9952 0.8473  2 Sr 3.08-3.10, 1 In 3.36
Br 0.7943 0.3851 0.0000  2 Sr 3.08, 2 In 3.20-3.41
Br 0.2943 0.6149 0.0000  2 Sr 3.08, 2 In 3.20-3.41
Br 0.9344 0.8521 0.8473  2 Sr 3.08-3.10, 1 In 3.36
Br 0.4344 0.1479 0.1527  2 Sr 3.08-3.10, 1 In 3.36

---

E in eV/atom, matching the order above: -3.094; -3.080; -2.327; -2.996; -2.861; -2.709; -3.005; -2.599; -3.146; -3.105; -2.779; -2.678; -3.209; -3.239; -2.731; -3.258; -2.597; -3.013; -3.266; -3.316
ΔE_f (raw) in kJ/mol of atoms, matching the order above: -111.2; -109.8; -45.9; -101.7; -88.8; -74.1; -102.6; -54.8; -127.3; -112.3; -65.3; -28.3; -122.3; -121.6; -67.6; -134.1; -47.9; -99.8; -134.9; -132.7
Theoretical density in kg/m3, matching the order above: 4016; 3991; 4348; 4884; 3221; 4677; 4349; 4236; 3251; 4176; 4321; 5761; 3454; 3609; 4266; 4333; 4388; 3005; 3584; 3835